A relaxed structure of TiNbMo4. Source: Alexandria, functional PBE.

Unit cell a=2.616 b=4.829 c=8.403 alpha=85.84 beta=81.05 gamma=74.28
Atoms (fractional coordinates):
Mo  0.666  0.501  0.168
Mo  0.163  0.012  0.661
Ti  0.500  0.500  0.500
Mo  0.837  0.988  0.339
Nb  0.000  0.000  0.000
Mo  0.334  0.499  0.832

Properties
As for the symmetry: C2/m, No. 12. The theoretical density comes out at 8.63 g/cm3. The calculated volume comes out at 16.812 Å³ per atom. The energy above the lowest structure with this stoichiometry comes out at 500 meV per atom. For the total moment, the calculation gives 0.0000 μB/atom. The value obtained for the total energy is -59.222 eV/cell. As for the formation energy: 345 meV per atom.

***

A relaxed structure of TlCd12Hg7. Source: Alexandria, functional PBE.

Unit cell a=9.281 b=9.281 c=9.281 alpha=109.47 beta=109.47 gamma=109.47
Atoms (fractional coordinates):
Hg  0.500  0.500  0.000
Cd  0.150  0.417  0.267
Cd  0.583  0.733  0.850
Hg  0.500  0.500  0.500
Cd  0.150  0.882  0.733
Cd  0.417  0.267  0.150
Cd  0.267  0.850  0.118
Cd  0.118  0.267  0.850
Hg  0.500  0.000  0.000
Tl  0.000  0.000  0.000
Cd  0.733  0.150  0.882
Cd  0.850  0.583  0.733
Hg  0.500  0.000  0.500
Cd  0.850  0.118  0.267
Hg  0.000  0.500  0.500
Hg  0.000  0.000  0.500
Cd  0.733  0.850  0.583
Hg  0.000  0.500  0.000
Cd  0.267  0.150  0.417
Cd  0.882  0.733  0.150

Properties
As for the symmetry: Im-3, No. 204. The theoretical density comes out at 7.98 g/cm3. The calculated volume comes out at 30.768 Å³ per atom. For the total moment, the calculation gives 0.0000 μB/atom. The value obtained for the total energy is -13.068 eV/cell. As for the formation energy: 120 meV per atom.

***

A relaxed structure of PrY4Al2. Source: Alexandria, functional PBE.

Unit cell a=5.364 b=5.364 c=8.454 alpha=71.51 beta=71.51 gamma=60.00
Atoms (fractional coordinates):
Y  0.154  0.154  0.538
Al  0.281  0.281  0.157
Y  0.846  0.846  0.462
Al  0.719  0.719  0.843
Y  0.418  0.418  0.745
Y  0.582  0.582  0.255
Pr  0.000  0.000  0.000

Properties
As for the symmetry: R-3m, No. 166. The theoretical density comes out at 4.66 g/cm3. The calculated volume comes out at 27.998 Å³ per atom. For the total moment, the calculation gives 0.0000 μB/atom. The value obtained for the total energy is -39.585 eV/cell. As for the formation energy: -209 meV per atom.

***

A relaxed structure of Y2TmIr3. Source: Alexandria, functional PBE.

Unit cell a=4.834 b=4.834 c=11.838 alpha=90.00 beta=90.00 gamma=120.00
Atoms (fractional coordinates):
Ir  0.000  0.000  0.748
Y  0.000  0.000  0.500
Tm  0.333  0.667  0.666
Ir  0.333  0.667  0.915
Y  0.667  0.333  0.832
Ir  0.333  0.667  0.417
Y  0.333  0.667  0.168
Y  0.000  0.000  0.000
Ir  0.667  0.333  0.583
Tm  0.667  0.333  0.334
Ir  0.667  0.333  0.085
Ir  0.000  0.000  0.252

Properties
As for the symmetry: P-3m1, No. 164. The theoretical density comes out at 12.80 g/cm3. The calculated volume comes out at 19.965 Å³ per atom. For the total moment, the calculation gives 0.0000 μB/atom. The value obtained for the total energy is -97.854 eV/cell. As for the formation energy: -824 meV per atom.

***

A relaxed structure of NdMgAgHg. Source: Alexandria, functional PBE.

Unit cell a=5.114 b=5.114 c=5.114 alpha=60.00 beta=60.00 gamma=60.00
Atoms (fractional coordinates):
Mg  0.250  0.250  0.250
Nd  0.750  0.750  0.750
Ag  0.000  0.000  0.000
Hg  0.500  0.500  0.500

Properties
As for the symmetry: F-43m, No. 216. The theoretical density comes out at 8.38 g/cm3. The calculated volume comes out at 23.642 Å³ per atom. For the total moment, the calculation gives 0.0000 μB/atom. The value obtained for the total energy is -11.079 eV/cell. As for the formation energy: -391 meV per atom.

***

A relaxed structure of K2ZnSbO4. Source: Alexandria, functional PBE.

Unit cell a=5.869 b=5.869 c=5.869 alpha=91.80 beta=118.96 gamma=118.96
Atoms (fractional coordinates):
O  0.893  0.527  0.124
Sb  0.500  0.250  0.750
Zn  0.000  0.500  0.500
O  0.403  0.876  0.769
O  0.597  0.366  0.473
K  0.500  0.750  0.250
K  0.000  0.000  0.000
O  0.107  0.231  0.634

Properties
As for the symmetry: I-4, No. 82. The theoretical density comes out at 3.77 g/cm3. The calculated volume comes out at 18.142 Å³ per atom. For the total moment, the calculation gives 0.0000 μB/atom. The value obtained for the total energy is -38.826 eV/cell. The value obtained for the uncorrected formation energy is -1425 meV/atom.

***

A relaxed structure of Ac4AsAuS2. Source: Alexandria, functional PBE.

Unit cell a=4.417 b=7.690 c=7.740 alpha=70.94 beta=90.00 gamma=90.00
Atoms (fractional coordinates):
Ac  0.500  0.243  0.748
Ac  0.000  0.242  0.255
As  0.000  0.500  0.500
Ac  0.000  0.758  0.745
Au  0.500  0.500  0.000
S  0.000  0.000  0.000
S  0.500  0.000  0.500
Ac  0.500  0.757  0.252

Properties
As for the symmetry: P2/m, No. 10. The theoretical density comes out at 8.31 g/cm3. The calculated volume comes out at 31.062 Å³ per atom. For the total moment, the calculation gives 0.0000 μB/atom. The value obtained for the total energy is -44.802 eV/cell. The value obtained for the uncorrected formation energy is -1523 meV/atom.

***

A relaxed structure of Sc2Cd2Sb. Source: Alexandria, functional PBE.

Unit cell a=7.460 b=7.460 c=4.509 alpha=90.00 beta=90.00 gamma=90.00
Atoms (fractional coordinates):
Sc  0.343  0.843  0.000
Sb  0.500  0.500  0.000
Cd  0.857  0.357  0.500
Sc  0.657  0.157  0.000
Sc  0.157  0.343  0.000
Sc  0.843  0.657  0.000
Cd  0.143  0.643  0.500
Cd  0.357  0.143  0.500
Sb  0.000  0.000  0.000
Cd  0.643  0.857  0.500

Properties
As for the symmetry: P4/mbm, No. 127. The theoretical density comes out at 5.78 g/cm3. The calculated volume comes out at 25.089 Å³ per atom. The energy above the lowest structure with this stoichiometry comes out at 0 meV per atom. For the total moment, the calculation gives 0.0000 μB/atom. The value obtained for the total energy is -39.851 eV/cell. The value obtained for the uncorrected formation energy is -262 meV/atom.